AlCrIrPd | PBE | optimized geometry

Unit cell a=6.1216 b=6.1216 c=6.1216 alpha=90.00 beta=90.00 gamma=90.00
Space group F-43m (No. 216)
Symmetry-distinct sites (fractional):
1 Al 0.0000 0.0000 0.0000 x4
2 Cr 0.0000 0.0000 0.5000 x4
3 Ir 0.2500 0.2500 0.2500 x4
4 Pd 0.2500 0.2500 0.7500 x4

Values from the calculation:
Total energy, eV/atom: -7.275
Energy of formation from the pure elements, meV/atom: -420

AlCrSiIr | PBE | optimized geometry

Unit cell a=5.9258 b=5.9258 c=5.9258 alpha=90.00 beta=90.00 gamma=90.00
Space group F-43m (No. 216)
Symmetry-distinct sites (fractional):
1 Al 0.0000 0.0000 0.0000 x4
2 Cr 0.2500 0.2500 0.7500 x4
3 Si 0.0000 0.0000 0.5000 x4
4 Ir 0.2500 0.2500 0.2500 x4

Values from the calculation:
Total energy, eV/atom: -7.301
ΔE_f (raw), kcal/mol of atoms: -8.961

AlCrTc2Ir | PBE | optimized geometry

Unit cell a=4.3166 b=4.3166 c=4.4322 alpha=90.00 beta=90.00 gamma=90.00
Space group P4/mmm (No. 123)
Symmetry-distinct sites (fractional):
1 Al 0.0000 0.0000 0.0000 x1
2 Cr 0.0000 0.0000 0.5000 x1
3 Tc 0.0000 0.5000 0.5000 x2
4 Ir 0.5000 0.5000 0.0000 x1

Values from the calculation:
Total energy, eV/atom: -7.476
Energy of formation from the pure elements, meV/atom: 1116

AlCrTcIr | PBE | optimized geometry

Unit cell a=6.0217 b=6.0217 c=6.0217 alpha=90.00 beta=90.00 gamma=90.00
Space group F-43m (No. 216)
Symmetry-distinct sites (fractional):
1 Al 0.0000 0.0000 0.0000 x4
2 Cr 0.0000 0.0000 0.5000 x4
3 Tc 0.2500 0.2500 0.2500 x4
4 Ir 0.2500 0.2500 0.7500 x4

Values from the calculation:
Total energy, eV/atom: -8.537
Energy of formation from the pure elements, meV/atom: -389

AlCrTe2Ir | PBE | optimized geometry

Unit cell a=5.0909 b=5.0909 c=4.6089 alpha=90.00 beta=90.00 gamma=90.00
Space group P4/mmm (No. 123)
Symmetry-distinct sites (fractional):
1 Al 0.0000 0.0000 0.0000 x1
2 Cr 0.5000 0.5000 0.5000 x1
3 Te 0.0000 0.5000 0.5000 x2
4 Ir 0.5000 0.5000 0.0000 x1

Values from the calculation:
Total energy, eV/atom: -4.881
ΔE_f (raw), kcal/mol of atoms: 18.935

Al2ZnCrIr | PBE | optimized geometry

Unit cell a=4.4589 b=4.4589 c=4.4532 alpha=90.00 beta=90.00 gamma=90.00
Space group P4/mmm (No. 123)
Symmetry-distinct sites (fractional):
1 Al 0.0000 0.5000 0.0000 x2
2 Zn 0.0000 0.0000 0.5000 x1
3 Cr 0.0000 0.0000 0.0000 x1
4 Ir 0.5000 0.5000 0.5000 x1

Values from the calculation:
Total energy, eV/atom: -4.309
Energy of formation from the pure elements, meV/atom: 1139

KAl2Cr | PBE | optimized geometry

Unit cell a=4.3097 b=4.3777 c=4.8276 alpha=90.00 beta=90.00 gamma=90.00
Space group Pmmm (No. 47)
Symmetry-distinct sites (fractional):
1 K 0.0000 0.0000 0.0000 x1
2 Al 0.0000 0.5000 0.5000 x1
3 Al 0.5000 0.0000 0.5000 x1
4 Cr 0.5000 0.5000 0.0000 x1

Values from the calculation:
Total energy, eV/atom: -3.736
E above lowest polymorph, meV/atom: 579.6
Energy of formation from the pure elements, meV/atom: 815

K2AlCr | PBE | optimized geometry

Unit cell a=5.5761 b=5.5761 c=7.8409 alpha=90.00 beta=90.00 gamma=90.00
Space group I-4m2 (No. 119)
Symmetry-distinct sites (fractional):
1 K 0.0000 0.0000 0.0000 x2
2 K 0.0000 0.5000 0.2500 x2
3 Al 0.0000 0.0000 0.5000 x2
4 Cr 0.0000 0.5000 0.7500 x2

Values from the calculation:
Total energy, eV/atom: -3.114
Energy of formation from the pure elements, meV/atom: 776